Arrangement one

Crystalline KZrSc3 at its relaxed geometry. Source: Alexandria via LeMat-Bulk, functional PBE.

a = 5.474 Å, b = 5.474 Å, c = 5.474 Å
α = 90.00°, β = 90.00°, γ = 90.00°
Fractional coordinates of all 5 atoms:
K  0.000  0.000  0.000
Zr  0.500  0.500  0.500
Sc  0.000  0.500  0.500
Sc  0.500  0.000  0.500
Sc  0.500  0.500  0.000

Results
* D(E_F): 7.8 states/eV/f.u.
* size of the total moment: 0.8 μB/f.u.


Arrangement two

Crystalline KZrSc3 at its relaxed geometry. Source: Alexandria via LeMat-Bulk, functional PBE.

a = 4.963 Å, b = 4.963 Å, c = 4.963 Å
α = 90.00°, β = 90.00°, γ = 90.00°
Fractional coordinates of all 5 atoms:
K  0.000  0.000  0.000
Zr  0.500  0.500  0.500
Sc  0.000  0.000  0.500
Sc  0.000  0.500  0.000
Sc  0.500  0.000  0.000

Results
* D(E_F): 7.7 states/eV/f.u.
* size of the total moment: 0.5 μB/f.u.


Which of the structures shown above is the most stable? The most stable is arrangement one.